Entry 1:
Pm5Pr4Dy2 PBE optimized geometry; total magnetization = 0.0 Bohr magnetons per cell; SG = Immm, No. 71; offset from the most stable computed form = 1.10 eV/f.u.; total DFT energy (no corrections) = -49.9 eV for the cell shown; formation enthalpy at 0 K = 0.196 eV per atom
1.0
3.5938 0.0000 0.0000
0.0000 11.6785 0.0000
-1.7969 -5.8392 9.2987
Pr Pm Dy
4 5 2
Cartesian
1.7969 5.8392 1.6761
0.0000 3.0212 0.0000
0.0000 0.0000 7.6227
0.0000 8.6573 0.0000
1.7969 -2.4398 5.9597
1.7969 2.4398 5.9597
1.7969 0.0000 0.0000
0.0000 3.3994 3.3390
0.0000 8.2790 3.3390
0.0000 0.0000 3.7848
1.7969 5.8392 5.5140



Entry 2:
Pm3PrDy7 PBE optimized geometry; total magnetization = 0.0 Bohr magnetons per cell; SG = Immm, No. 71; offset from the most stable computed form = 1.17 eV/f.u.; total DFT energy (no corrections) = -48.5 eV for the cell shown; formation enthalpy at 0 K = 0.248 eV per atom
1.0
-2.8572 -1.5743 4.8756
-4.5375 -2.0612 -6.8544
5.0285 -6.2996 -2.6171
Dy Pm Pr
7 3 1
Cartesian
-1.8837 -7.9063 -3.6557
-0.0717 -3.6901 2.2947
-0.4825 -2.0288 -0.9402
1.4107 -7.8866 -5.2494
-2.2945 -6.2450 -6.8906
-3.7768 -2.0485 0.6535
0.2455 -4.1804 -4.7357
-2.5260 -2.9524 -5.9634
3.0170 -5.4084 -3.5081
-1.4286 -0.7872 2.4378
-1.1831 -4.9676 -2.2980



Entry 3:
Pm3PrDy6 PBE optimized geometry; total magnetization = 0.0 Bohr magnetons per cell; SG = Cmc2_1, No. 36; offset from the most stable computed form = 0.00 eV/f.u.; total DFT energy (no corrections) = -90.3 eV for the cell shown; formation enthalpy at 0 K = 0.149 eV per atom
1.0
-1.4882 -5.2285 -3.2234
6.8099 3.0459 -8.0846
3.7992 -6.1798 8.2698
Dy Pm Pr
12 6 2
Cartesian
3.6193 -0.8430 -0.8227
2.6075 -10.4217 4.7537
1.5428 -4.6881 2.2845
6.1210 -5.3433 -0.8739
7.1411 -1.8834 -0.7613
2.0636 -3.4264 -6.1980
3.6706 -7.0052 1.6690
5.7613 -0.2648 -4.0338
6.6947 -6.2099 2.3744
7.2155 -4.9483 -6.1081
6.1163 0.6641 -8.6521
2.5992 -4.3029 -0.9353
4.8654 -2.9599 1.6790
0.0933 -6.6191 -1.2365
6.9749 -8.6519 -1.1164
1.5128 -1.9353 -3.2935
8.3944 -3.9681 -3.1733
4.7892 -3.5273 -3.5611
4.1981 -5.0461 4.6012
5.2716 -2.0907 -6.8838



Entry 4:
Pm7Pr3Dy2 PBE optimized geometry; total magnetization = 0.0 Bohr magnetons per cell; SG = P2/m, No. 10; offset from the most stable computed form = 0.11 eV/f.u.; total DFT energy (no corrections) = -55.8 eV for the cell shown; formation enthalpy at 0 K = 0.085 eV per atom
1.0
-0.8976 -3.3819 0.9787
3.8977 0.2700 4.5076
-14.4240 6.9181 10.6767
Pr Pm Dy
3 7 2
Cartesian
-6.1120 4.5957 10.2749
-4.4142 2.5924 4.9095
1.5001 -1.5560 2.7432
-4.2444 1.7200 8.7948
-2.2960 -0.3967 3.2674
-7.1794 2.0862 7.3683
-11.1136 5.9962 10.5272
0.0000 0.0000 0.0000
-9.1278 4.2029 12.8957
0.5873 1.1919 4.6571
-9.5001 3.2643 9.3110
-1.9237 0.5418 6.8520